# 1
Compound: Ba2Tl2OsO6
Source: Alexandria
Functional: PBE-GGA
Structure: optimized geometry

Results
Uncorrected formation energy = -1.51 eV/atom
Crystal system = monoclinic

Geometry as POSCAR:
```
Ba2Tl2OsO6
1.0
-4.5127 -4.4146 1.2895
5.4877 -1.9118 -2.7833
2.2959 0.5088 5.9501
O Tl Ba Os
6 2 2 1
Direct
0.9548 0.7008 0.3362
0.8168 0.8168 0.7118
0.1832 0.1832 0.2882
0.7008 0.9548 0.3362
0.2992 0.0452 0.6638
0.0452 0.2992 0.6638
0.1532 0.8468 0.0000
0.8468 0.1532 0.0000
0.3367 0.6633 0.5000
0.6633 0.3367 0.5000
0.0000 0.0000 0.5000
```

=====

# 2
Compound: Ba2Tl3OsO6
Source: Alexandria
Functional: PBE-GGA
Structure: optimized geometry

Results
Uncorrected formation energy = -1.36 eV/atom
Crystal system = monoclinic

Geometry as POSCAR:
```
Ba2Tl3OsO6
1.0
-4.1734 -4.6989 -1.6452
5.3974 0.9144 -3.4979
2.7162 -2.8985 5.2500
O Os Tl Ba
6 1 3 2
Direct
0.8184 0.8184 0.2089
0.3137 0.0639 0.1728
0.0639 0.3137 0.1728
0.9361 0.6863 0.8272
0.6863 0.9361 0.8272
0.1816 0.1816 0.7911
0.0000 0.0000 0.0000
0.1554 0.8446 0.5000
0.8446 0.1554 0.5000
0.5000 0.5000 0.5000
0.3307 0.6693 0.0000
0.6693 0.3307 0.0000
```

=====

# 3
Compound: Ba2TlOs3O12
Source: Alexandria
Functional: PBE-GGA
Structure: optimized geometry

Results
Uncorrected formation energy = -1.42 eV/atom
Crystal system = trigonal

Geometry as POSCAR:
```
Ba2TlOs3O12
1.0
-6.0104 1.2728 -3.6461
-4.0875 -5.5729 -1.8093
-6.2357 -0.8439 3.3827
O Os Ba Tl
12 3 2 1
Direct
0.7211 0.7211 0.1284
0.8600 0.8600 0.4782
0.8600 0.4782 0.8600
0.7211 0.1284 0.7211
0.4782 0.8600 0.8600
0.1400 0.5218 0.1400
0.5218 0.1400 0.1400
0.1284 0.7211 0.7211
0.2789 0.8716 0.2789
0.2789 0.2789 0.8716
0.1400 0.1400 0.5218
0.8716 0.2789 0.2789
0.5000 0.0000 0.0000
0.0000 0.0000 0.5000
0.0000 0.5000 0.0000
0.6074 0.6074 0.6074
0.3926 0.3926 0.3926
0.0000 0.0000 0.0000
```

=====

# 4
Compound: BaTlOs2O8
Source: Alexandria
Functional: PBE-GGA
Structure: optimized geometry

Results
Uncorrected formation energy = -1.25 eV/atom
Crystal system = trigonal

Geometry as POSCAR:
```
BaTlOs2O8
1.0
-4.1725 2.9756 3.4007
-1.3417 -5.5058 -2.3906
3.0169 -3.7774 7.0067
O Tl Os Ba
8 1 2 1
Direct
0.3443 0.1712 0.2457
0.3333 0.6667 0.0240
0.1712 0.8269 0.7543
0.1731 0.3443 0.7543
0.6667 0.3333 0.9760
0.8269 0.6557 0.2457
0.8288 0.1731 0.2457
0.6557 0.8288 0.7543
0.0000 0.0000 0.5000
0.6667 0.3333 0.1860
0.3333 0.6667 0.8140
0.0000 0.0000 0.0000
```

=====

# 5
Compound: BaTl2OsO8
Source: Alexandria
Functional: PBE-GGA
Structure: optimized geometry

Results
Uncorrected formation energy = -1.02 eV/atom
Crystal system = triclinic

Geometry as POSCAR:
```
BaTl2OsO8
1.0
-0.8964 4.5514 2.0636
-4.3907 -1.9959 2.9545
2.8095 -1.7551 6.6425
O Tl Os Ba
8 2 1 1
Direct
0.8688 0.2126 0.7870
0.1891 0.8418 0.8465
0.5655 0.7350 0.5213
0.2855 0.2250 0.9882
0.8109 0.1582 0.1535
0.7145 0.7750 0.0118
0.4345 0.2650 0.4787
0.1312 0.7874 0.2130
0.5329 0.5767 0.2671
0.4671 0.4233 0.7329
0.0000 0.0000 0.0000
0.0000 0.0000 0.5000
```

=====

# 6
Compound: BaTmOsO6
Source: Alexandria
Functional: PBE-GGA
Structure: optimized geometry

Results
Uncorrected formation energy = -2.16 eV/atom
Crystal system = trigonal

Geometry as POSCAR:
```
BaTmOsO6
1.0
-0.8203 5.4151 0.9518
-3.9480 2.7456 -2.7887
-3.7506 -1.2799 4.0500
Tm O Os Ba
1 6 1 1
Direct
0.6666 0.6667 0.5000
0.6023 0.0400 0.3064
0.0400 0.6023 0.6936
0.3576 0.0400 0.6936
0.6023 0.3577 0.6936
0.3576 0.6023 0.3064
0.0400 0.3576 0.3064
0.3333 0.3333 0.5000
0.0000 0.0000 0.0000
```

=====

# 7
Compound: Ba2TmOs3O12
Source: Alexandria
Functional: PBE-GGA
Structure: optimized geometry

Results
Uncorrected formation energy = -1.77 eV/atom
Crystal system = trigonal

Geometry as POSCAR:
```
Ba2TmOs3O12
1.0
7.2822 0.0199 0.0141
3.6136 6.3224 0.0141
3.6136 2.1034 5.9623
O Os Ba Tm
12 3 2 1
Direct
0.0830 0.7037 0.7037
0.2963 0.2963 0.9170
0.1030 0.6230 0.1030
0.3770 0.8970 0.8970
0.8970 0.3770 0.8970
0.9170 0.2963 0.2963
0.8970 0.8970 0.3770
0.6230 0.1030 0.1030
0.7037 0.7037 0.0830
0.2963 0.9170 0.2963
0.1030 0.1030 0.6230
0.7037 0.0830 0.7037
0.0000 0.5000 0.0000
0.5000 0.0000 0.0000
0.0000 0.0000 0.5000
0.3615 0.3615 0.3615
0.6385 0.6385 0.6385
0.0000 0.0000 0.0000
```

=====

# 8
Compound: BaTmOs2O8
Source: Alexandria
Functional: PBE-GGA
Structure: optimized geometry

Results
Uncorrected formation energy = -1.69 eV/atom
Crystal system = trigonal

Geometry as POSCAR:
```
BaTmOs2O8
1.0
-5.5399 -1.9803 0.6539
2.4775 0.1414 -5.3741
2.6231 -6.9998 1.0251
O Os Ba Tm
8 2 1 1
Direct
0.6750 0.8379 0.6915
0.8379 0.1629 0.3085
0.1629 0.3250 0.6915
0.6667 0.3333 0.9944
0.3333 0.6667 0.0056
0.8371 0.6750 0.3085
0.3250 0.1621 0.3085
0.1621 0.8371 0.6915
0.6667 0.3333 0.2339
0.3333 0.6667 0.7661
0.0000 0.0000 0.0000
0.0000 0.0000 0.5000
```

=====

# 9
Compound: Ba3TmOs2O9
Source: Alexandria
Functional: PBE-GGA
Structure: optimized geometry

Results
Uncorrected formation energy = -2.21 eV/atom
Crystal system = trigonal

Geometry as POSCAR:
```
Ba3TmOs2O9
1.0
-0.1622 5.7651 1.0133
-0.4358 -3.7700 4.4595
7.1223 0.0679 0.7534
O Tm Os Ba
9 1 2 3
Direct
0.1757 0.8243 0.3201
0.5000 0.5000 0.0000
0.1757 0.3514 0.3201
0.3514 0.1757 0.6799
0.8243 0.6486 0.6799
0.5000 0.0000 0.0000
0.8243 0.1757 0.6799
0.6486 0.8243 0.3201
0.0000 0.5000 0.0000
0.0000 0.0000 0.5000
0.3333 0.6667 0.1540
0.6667 0.3333 0.8460
0.3333 0.6667 0.6642
0.0000 0.0000 0.0000
0.6667 0.3333 0.3358
```

=====

# 10
Compound: Ba2UOs3O12
Source: Alexandria
Functional: PBE-GGA
Structure: optimized geometry

Results
Uncorrected formation energy = -1.86 eV/atom
Crystal system = trigonal

Geometry as POSCAR:
```
Ba2UOs3O12
1.0
-3.6905 -0.6997 6.3305
-7.0157 -2.2274 0.0510
-1.8304 -6.6444 2.5858
Os O Ba U
3 12 2 1
Direct
0.0000 0.0000 0.5000
0.5000 0.0000 0.0000
0.0000 0.5000 0.0000
0.0948 0.0948 0.6432
0.9052 0.3568 0.9052
0.6973 0.6973 0.0813
0.3027 0.9187 0.3027
0.9187 0.3027 0.3027
0.3568 0.9052 0.9052
0.0948 0.6432 0.0948
0.3027 0.3027 0.9187
0.9052 0.9052 0.3568
0.6432 0.0948 0.0948
0.6973 0.0813 0.6973
0.0813 0.6973 0.6973
0.3672 0.3672 0.3672
0.6328 0.6328 0.6328
0.0000 0.0000 0.0000
```